(1)
Crystalline Li2MgCd2 at its relaxed geometry. Source: Alexandria, functional GGA-PBE.

Unit cell a=8.3465 b=4.7267 c=9.9476 alpha=90.00 beta=104.55 gamma=90.00
Closest atoms and distances in Å follow each position.
Space group C2/c (No. 15)
Inequivalent atoms, fractional coordinates:
Li 0.2024 0.2505 0.3586  1 Li 2.72, 4 Cd 2.84-2.86, 3 Mg 2.95
Mg 0.0000 0.2492 0.7500  6 Li 2.95, 6 Cd 3.02-3.26
Cd 0.1044 0.2502 0.0634  4 Li 2.84-2.86, 3 Cd 3.01-3.02, 1 Mg 3.02

**DOS(E_F)**: 0.2758 states/eV per atom
**Energy relative to the elements**: -206.3 meV/atom
**Energy relative to the lowest polymorph listed for this composition**: 0.0 meV per atom

=====

(2)
Crystalline Rb2PuInF6 at its relaxed geometry. Source: Alexandria, functional GGA-PBE.

Unit cell a=6.7150 b=6.9299 c=11.6469 alpha=90.00 beta=124.57 gamma=90.00
Closest atoms and distances in Å follow each position.
Space group P2_1/c (No. 14)
Inequivalent atoms, fractional coordinates:
Rb 0.2308 0.0459 0.2477  6 F 2.84-3.15
Pu 0.5000 0.0000 0.0000  6 F 2.29-2.30
In 0.0000 0.0000 0.5000  6 F 2.69-2.77
F 0.1766 0.1882 0.9479  1 Pu 2.30
F 0.2525 0.7353 0.9331  1 Pu 2.29
F 0.3836 0.0572 0.7752  1 Pu 2.30

**Formation energy from raw total energies**: -2.86 eV per atom
**DOS(E_F)**: 0.7210 states/eV per atom

=====

(3)
Crystalline Rb2BPdAu at its relaxed geometry. Source: Alexandria, functional GGA-PBE.

Unit cell a=6.5819 b=6.5819 c=4.0826 alpha=90.00 beta=90.00 gamma=90.00
Closest atoms and distances in Å follow each position.
Space group P4/mmm (No. 123)
Inequivalent atoms, fractional coordinates:
Rb 0.0000 0.5000 0.0000  2 Au 3.29
B 0.0000 0.0000 0.5000  2 Au 2.04
Pd 0.5000 0.5000 0.5000  8 Rb 3.87, 2 Pd 4.08
Au 0.0000 0.0000 0.0000  2 B 2.04

**DOS(E_F)**: 0.7380 states/eV per atom
**Energy relative to the elements**: 549.3 meV/atom

=====

(4)
Crystalline ScMn2Ni at its relaxed geometry. Source: Alexandria, functional GGA-PBE.

Unit cell a=3.8624 b=3.8624 c=7.9218 alpha=90.00 beta=90.00 gamma=90.00
Closest atoms and distances in Å follow each position.
Space group I4/mmm (No. 139)
Inequivalent atoms, fractional coordinates:
Sc 0.0000 0.0000 0.0000  4 Ni 2.73, 8 Mn 2.77
Mn 0.0000 0.5000 0.2500  4 Mn 2.73, 4 Ni 2.77, 4 Sc 2.77
Ni 0.0000 0.0000 0.5000  4 Sc 2.73, 8 Mn 2.77

**DOS(E_F)**: 1.1351 states/eV per atom
**Energy relative to the elements**: 74.6 meV/atom